This record from Alexandria via LeMat-Bulk describes a geometry-optimized MnGaO2F structure. The functional is GGA+U.

a = 3.929 Å, b = 3.929 Å, c = 4.018 Å
α = 90.00°, β = 90.00°, γ = 90.00°
Element x y z (fractional)
Mn1 0.000 0.000 0.000
Ga1 0.500 0.500 0.500
O1 0.000 0.500 0.000
O2 0.500 0.000 0.000
F1 0.000 0.000 0.500

The energy comes out at -0.418 Ry per atom.